# Pr2Y3Tm4

A relaxed structure of Pr2Y3Tm4 (PBE, the Alexandria database). Values from VASP.

## Properties
DOS(E_F) in states/eV per cell: 27.4
Theoretical density in g/cm3: 7.04
SG: C2/c
V in Å³/atom: 32.1
Total DFT energy (no corrections) in eV per formula unit: -45.94
Formation energy in eV per atom: 0.100
Crystal system: monoclinic

Structure (Quantum ESPRESSO input):
```
&SYSTEM
  ibrav = 0, nat = 18, ntyp = 3
/
ATOMIC_SPECIES
Pr 140.91 Pr.upf
Y 88.91 Y.upf
Tm 168.93 Tm.upf
CELL_PARAMETERS angstrom
-5.914 -0.190 1.103
-3.816 -9.233 5.203
-3.101 0.946 10.787
ATOMIC_POSITIONS crystal
Pr 0.437 0.275 0.510
Pr 0.063 0.490 0.725
Pr 0.563 0.725 0.490
Pr 0.937 0.510 0.275
Y 0.764 0.014 0.312
Y 0.736 0.688 0.986
Y 0.236 0.986 0.688
Y 0.264 0.312 0.014
Y 0.250 0.648 0.352
Y 0.750 0.352 0.648
Tm 0.423 0.953 0.168
Tm 0.077 0.832 0.047
Tm 0.577 0.047 0.832
Tm 0.923 0.168 0.953
Tm 0.100 0.156 0.377
Tm 0.400 0.623 0.844
Tm 0.900 0.844 0.623
Tm 0.600 0.377 0.156
```

=====

# Pr9Y2Tm

A relaxed structure of Pr9Y2Tm (PBE, the Alexandria database). Values from VASP.

## Properties
DOS(E_F) in states/eV per cell: 19.4
Theoretical density in g/cm3: 6.39
SG: P4/mmm
V in Å³/atom: 35.0
Total DFT energy (no corrections) in eV per formula unit: -60.27
Formation energy in eV per atom: 0.012
Crystal system: tetragonal

Structure (Quantum ESPRESSO input):
```
&SYSTEM
  ibrav = 0, nat = 12, ntyp = 3
/
ATOMIC_SPECIES
Pr 140.91 Pr.upf
Y 88.91 Y.upf
Tm 168.93 Tm.upf
CELL_PARAMETERS angstrom
5.191 0.000 0.000
0.000 5.191 0.000
0.000 0.000 15.574
ATOMIC_POSITIONS crystal
Pr 0.500 0.500 0.000
Pr 0.500 0.500 0.333
Pr 0.500 0.500 0.667
Pr 0.500 0.000 0.165
Pr 0.500 0.000 0.500
Pr 0.500 0.000 0.835
Pr 0.000 0.500 0.165
Pr 0.000 0.500 0.500
Pr 0.000 0.500 0.835
Y 0.000 0.000 0.333
Y 0.000 0.000 0.667
Tm 0.000 0.000 0.000
```

=====

# Pr2Y4Tm5

A relaxed structure of Pr2Y4Tm5 (PBE, the Alexandria database). Values from VASP.

## Properties
Energy relative to the lowest polymorph listed for this composition in meV per atom: 79.4
DOS(E_F) in states/eV per cell: 17.2
Theoretical density in g/cm3: 6.70
SG: Immm
V in Å³/atom: 33.4
Total DFT energy (no corrections) in eV per formula unit: -55.21
Formation energy in eV per atom: 0.233
Crystal system: orthorhombic

Structure (Quantum ESPRESSO input):
```
&SYSTEM
  ibrav = 0, nat = 11, ntyp = 3
/
ATOMIC_SPECIES
Pr 140.91 Pr.upf
Y 88.91 Y.upf
Tm 168.93 Tm.upf
CELL_PARAMETERS angstrom
-3.380 0.898 0.164
-0.933 -1.911 -8.764
-0.627 -10.465 6.988
ATOMIC_POSITIONS crystal
Pr 0.265 0.265 0.531
Pr 0.735 0.735 0.469
Y 0.000 0.310 0.000
Y 0.599 0.599 0.198
Y 0.000 0.690 0.000
Y 0.401 0.401 0.802
Tm 0.861 0.051 0.722
Tm 0.861 0.670 0.722
Tm 0.139 0.330 0.278
Tm 0.139 0.949 0.278
Tm 0.500 0.000 0.000
```

=====

# Pr2Y6Tm5

A relaxed structure of Pr2Y6Tm5 (PBE, the Alexandria database). Values from VASP.

## Properties
DOS(E_F) in states/eV per cell: 36.9
Theoretical density in g/cm3: 6.49
SG: Pbam
V in Å³/atom: 32.7
Total DFT energy (no corrections) in eV per formula unit: -69.34
Formation energy in eV per atom: 0.105
Crystal system: orthorhombic

Structure (Quantum ESPRESSO input):
```
&SYSTEM
  ibrav = 0, nat = 26, ntyp = 3
/
ATOMIC_SPECIES
Pr 140.91 Pr.upf
Y 88.91 Y.upf
Tm 168.93 Tm.upf
CELL_PARAMETERS angstrom
-0.538 0.361 -3.524
9.384 -6.738 -2.123
-11.750 -16.400 0.111
ATOMIC_POSITIONS crystal
Pr 0.000 0.338 0.284
Pr 0.000 0.662 0.716
Pr 0.000 0.838 0.216
Pr 0.000 0.162 0.784
Y 0.000 0.083 0.366
Y 0.000 0.917 0.634
Y 0.000 0.583 0.134
Y 0.000 0.417 0.866
Y 0.500 0.323 0.125
Y 0.500 0.677 0.875
Y 0.500 0.823 0.375
Y 0.500 0.177 0.625
Y 0.000 0.557 0.421
Y 0.000 0.443 0.579
Y 0.000 0.057 0.079
Y 0.000 0.943 0.921
Tm 0.500 0.300 0.450
Tm 0.500 0.700 0.550
Tm 0.500 0.800 0.050
Tm 0.500 0.200 0.950
Tm 0.500 0.598 0.277
Tm 0.500 0.402 0.723
Tm 0.500 0.098 0.223
Tm 0.500 0.902 0.777
Tm 0.500 0.500 0.000
Tm 0.500 0.000 0.500
```

=====

# PrY6Tm

A relaxed structure of PrY6Tm (PBE, the Alexandria database). Values from VASP.

## Properties
Energy relative to the lowest polymorph listed for this composition in meV per atom: 0.0
DOS(E_F) in states/eV per cell: 13.9
Theoretical density in g/cm3: 5.23
SG: R-3
V in Å³/atom: 33.5
Total DFT energy (no corrections) in eV per formula unit: -46.83
Formation energy in eV per atom: 0.151
Crystal system: trigonal

Structure (Quantum ESPRESSO input):
```
&SYSTEM
  ibrav = 0, nat = 8, ntyp = 3
/
ATOMIC_SPECIES
Pr 140.91 Pr.upf
Y 88.91 Y.upf
Tm 168.93 Tm.upf
CELL_PARAMETERS angstrom
-5.351 6.177 -5.139
-9.430 -1.654 -1.236
-5.590 3.228 0.633
ATOMIC_POSITIONS crystal
Pr 0.500 0.500 0.500
Y 0.044 0.457 0.745
Y 0.753 0.044 0.745
Y 0.543 0.247 0.255
Y 0.247 0.956 0.255
Y 0.956 0.543 0.255
Y 0.457 0.753 0.745
Tm 0.000 0.000 0.000
```

=====

# Pr12YTm5

A relaxed structure of Pr12YTm5 (PBE, the Alexandria database). Values from VASP.

## Properties
DOS(E_F) in states/eV per cell: 29.2
Theoretical density in g/cm3: 7.04
SG: P2/m
V in Å³/atom: 34.4
Total DFT energy (no corrections) in eV per formula unit: -85.69
Formation energy in eV per atom: 0.027
Crystal system: monoclinic

Structure (Quantum ESPRESSO input):
```
&SYSTEM
  ibrav = 0, nat = 18, ntyp = 3
/
ATOMIC_SPECIES
Pr 140.91 Pr.upf
Y 88.91 Y.upf
Tm 168.93 Tm.upf
CELL_PARAMETERS angstrom
15.383 -0.013 -0.002
7.685 7.760 -0.001
0.001 0.000 5.178
ATOMIC_POSITIONS crystal
Pr 0.835 0.000 0.500
Pr 0.165 0.000 0.500
Pr 0.664 0.000 0.000
Pr 0.336 0.000 0.000
Pr 0.332 0.666 0.000
Pr 0.002 0.666 0.000
Pr 0.998 0.334 0.000
Pr 0.668 0.334 0.000
Pr 0.497 0.333 0.500
Pr 0.830 0.667 0.500
Pr 0.170 0.333 0.500
Pr 0.503 0.667 0.500
Y 0.000 0.000 0.000
Tm 0.500 0.000 0.500
Tm 0.167 0.666 0.500
Tm 0.833 0.334 0.500
Tm 0.667 0.666 0.000
Tm 0.333 0.334 0.000
```

=====

# Pr4YTm3

A relaxed structure of Pr4YTm3 (PBE, the Alexandria database). Values from VASP.

## Properties
Energy relative to the lowest polymorph listed for this composition in meV per atom: 5.2
DOS(E_F) in states/eV per cell: 29.7
Theoretical density in g/cm3: 7.15
SG: Pmn2_1
V in Å³/atom: 33.7
Total DFT energy (no corrections) in eV per formula unit: -38.76
Formation energy in eV per atom: 0.030
Crystal system: orthorhombic

Structure (Quantum ESPRESSO input):
```
&SYSTEM
  ibrav = 0, nat = 16, ntyp = 3
/
ATOMIC_SPECIES
Pr 140.91 Pr.upf
Y 88.91 Y.upf
Tm 168.93 Tm.upf
CELL_PARAMETERS angstrom
-3.587 3.035 4.224
-5.970 -3.360 -2.655
1.534 -8.682 7.540
ATOMIC_POSITIONS crystal
Pr 0.138 0.872 0.000
Pr 0.651 0.131 0.000
Pr 0.983 0.129 0.255
Pr 0.483 0.871 0.245
Pr 0.151 0.869 0.500
Pr 0.638 0.128 0.500
Pr 0.483 0.871 0.755
Pr 0.983 0.129 0.745
Y 0.151 0.378 0.000
Y 0.651 0.622 0.500
Tm 0.647 0.616 0.000
Tm 0.981 0.619 0.250
Tm 0.481 0.381 0.250
Tm 0.147 0.384 0.500
Tm 0.481 0.381 0.750
Tm 0.981 0.619 0.750
```

=====

# Pr9Y2Tm3

A relaxed structure of Pr9Y2Tm3 (PBE, the Alexandria database). Values from VASP.

## Properties
DOS(E_F) in states/eV per cell: 37.5
Theoretical density in g/cm3: 6.40
SG: P6_3/m
V in Å³/atom: 36.2
Total DFT energy (no corrections) in eV per formula unit: -65.98
Formation energy in eV per atom: 0.242
Crystal system: hexagonal

Structure (Quantum ESPRESSO input):
```
&SYSTEM
  ibrav = 0, nat = 28, ntyp = 3
/
ATOMIC_SPECIES
Pr 140.91 Pr.upf
Y 88.91 Y.upf
Tm 168.93 Tm.upf
CELL_PARAMETERS angstrom
-8.642 -2.578 -0.930
4.582 -2.134 7.526
-4.275 12.147 6.047
ATOMIC_POSITIONS crystal
Pr 0.518 0.597 0.750
Pr 0.729 0.596 0.457
Pr 0.729 0.596 0.043
Pr 0.403 0.921 0.750
Pr 0.868 0.271 0.043
Pr 0.868 0.271 0.457
Pr 0.404 0.132 0.043
Pr 0.404 0.132 0.457
Pr 0.921 0.518 0.250
Pr 0.079 0.482 0.750
Pr 0.596 0.868 0.957
Pr 0.596 0.868 0.543
Pr 0.132 0.729 0.543
Pr 0.132 0.729 0.957
Pr 0.597 0.079 0.250
Pr 0.271 0.404 0.543
Pr 0.271 0.404 0.957
Pr 0.482 0.403 0.250
Y 0.667 0.333 0.642
Y 0.667 0.333 0.858
Y 0.333 0.667 0.142
Y 0.333 0.667 0.358
Tm 0.752 0.828 0.250
Tm 0.172 0.925 0.250
Tm 0.075 0.248 0.250
Tm 0.925 0.752 0.750
Tm 0.828 0.075 0.750
Tm 0.248 0.172 0.750
```